Below is a geometry-optimized K2TiSi3H2O10 structure, with properties calculated at the PBEsol level.

Cell lengths 7.154, 9.910, 12.961 Å; angles 90.00, 90.00, 90.00 degrees
Space group P2_12_12_1 (No. 19)
One atom of each set of equivalent atoms:
K1 0.129 0.216 0.371 x4
K2 0.206 0.063 0.081 x4
Ti1 0.239 0.545 0.290 x4
Si1 0.002 0.182 0.826 x4
Si2 0.086 0.860 0.334 x4
Si3 0.229 0.463 0.047 x4
H1 0.030 0.155 0.624 x4
H2 0.169 0.276 0.599 x4
O1 0.007 0.442 0.261 x4
O2 0.013 0.405 0.056 x4
O3 0.051 0.340 0.811 x4
O4 0.072 0.699 0.313 x4
O5 0.106 0.618 0.773 x4
O6 0.127 0.185 0.573 x4
O7 0.133 0.668 0.572 x4
O8 0.194 0.095 0.852 x4
O9 0.222 0.484 0.433 x4
O10 0.244 0.424 0.637 x4

Summary:
- N(E_F): 0.000 states/eV/f.u.
- Total DFT energy (no corrections): -7.305 eV per atom



Below is a geometry-optimized K2ZrSi3H2O10 structure, with properties calculated at the PBEsol level.

Cell lengths 7.199, 10.274, 13.331 Å; angles 90.00, 90.00, 90.00 degrees
Space group P2_12_12_1 (No. 19)
One atom of each set of equivalent atoms:
K1 0.121 0.224 0.374 x4
K2 0.220 0.068 0.081 x4
Zr1 0.238 0.550 0.293 x4
Si1 0.001 0.678 0.673 x4
Si2 0.088 0.865 0.335 x4
Si3 0.227 0.469 0.050 x4
H1 0.037 0.157 0.624 x4
H2 0.171 0.274 0.596 x4
O1 0.005 0.945 0.241 x4
O2 0.011 0.415 0.059 x4
O3 0.038 0.332 0.815 x4
O4 0.064 0.709 0.317 x4
O5 0.097 0.616 0.772 x4
O6 0.129 0.186 0.572 x4
O7 0.140 0.658 0.576 x4
O8 0.192 0.098 0.855 x4
O9 0.223 0.483 0.439 x4
O10 0.246 0.419 0.635 x4

Summary:
- N(E_F): 0.000 states/eV/f.u.
- Total DFT energy (no corrections): -7.424 eV per atom



Below is a geometry-optimized K2SnH6O6 structure, with properties calculated at the PBEsol level.

Cell lengths 6.7045, 6.7045, 11.7513 Å; angles 90.00, 90.00, 120.00 degrees
Space group R-3 (No. 148, hexagonal axes)
One atom of each set of equivalent atoms:
K1 0.0000 0.0000 0.2003 x6
Sn1 0.0000 0.0000 0.5000 x3
H1 0.0035 0.5827 0.3123 x18
O1 0.0440 0.4782 0.2684 x18

Summary:
- N(E_F): 0.000 states/eV/f.u.
- Total DFT energy (no corrections): -5.236 eV per atom



Below is a geometry-optimized K2TiHO structure, with properties calculated at the PBEsol level.

Cell lengths 4.748, 4.748, 4.084 Å; angles 90.00, 90.00, 90.00 degrees
Space group P4/mmm (No. 123)
One atom of each set of equivalent atoms:
K1 0.000 0.500 0.000 x2
Ti1 0.000 0.000 0.500 x1
H1 0.000 0.000 0.000 x1
O1 0.500 0.500 0.500 x1

Summary:
- N(E_F): 5.499 states/eV/f.u.
- Total DFT energy (no corrections): -3.515 eV per atom



Below is a geometry-optimized K2HOs structure, with properties calculated at the PBEsol level.

Cell lengths 7.678, 7.678, 7.678 Å; angles 90.00, 90.00, 90.00 degrees
Space group Fm-3m (No. 225)
One atom of each set of equivalent atoms:
K1 0.250 0.250 0.250 x8
H1 0.000 0.000 0.000 x4
Os1 0.000 0.000 0.500 x4

Summary:
- N(E_F): 8.631 states/eV/f.u.
- Total DFT energy (no corrections): -2.734 eV per atom



Below is a geometry-optimized KP2H structure, with properties calculated at the PBEsol level.

Cell lengths 5.698, 5.698, 8.500 Å; angles 90.00, 90.00, 90.00 degrees
Space group I4_1/amd (No. 141, origin choice 2)
One atom of each set of equivalent atoms:
K1 0.000 0.250 0.375 x4
P1 0.000 0.000 0.000 x8
H1 0.000 0.250 0.875 x4

Summary:
- N(E_F): 1.347 states/eV/f.u.
- Total DFT energy (no corrections): -3.697 eV per atom